DFT (PBE) results for KCaCoBr5 after structural relaxation.

POSCAR file:
```
KCaCoBr5
1.0
7.8467 0.1195 -0.0602
-2.1762 7.5399 -0.0602
-2.4275 -3.2790 9.5355
Br Ca Co K
10 2 2 2
Cartesian
-0.2158 1.1102 5.3861
3.4588 3.2703 4.0290
4.1474 -0.4421 3.5007
2.3386 1.7571 0.6184
-0.9044 4.8226 5.9144
-1.9016 6.0675 2.3237
0.9044 2.6233 8.7967
6.0903 2.1822 1.1467
-2.8473 2.1982 8.2684
5.1446 -1.6870 7.0914
-1.2138 -1.6395 4.7677
0.0000 0.0000 0.0000
4.0502 1.6612 2.3237
-0.8072 2.7192 7.0914
0.6923 4.1472 2.3237
2.5507 0.2333 7.0914
```

Properties
Uncorrected formation energy in kJ/mol of formula units: -1003.7
Symmetry: No. 15



DFT (PBE) results for Ag2OsPt after structural relaxation.

POSCAR file:
```
Ag2OsPt
1.0
-2.0881 3.5511 -3.0859
-4.3904 2.0850 1.6943
4.6705 -0.8539 1.9876
Ag Os Pt
2 1 1
Cartesian
0.0000 0.0000 0.0000
-3.2393 2.8180 -0.6958
-1.4796 2.0246 1.4930
-0.3284 2.7576 -0.8971
```

Properties
Energy above the most stable polymorph in this dataset in kJ/mol of atoms: 36.7
Symmetry: No. 139



DFT (PBE) results for BeTcAu after structural relaxation.

POSCAR file:
```
BeTcAu
1.0
3.9691 0.0000 0.0000
1.9845 3.4373 0.0000
1.9845 1.1458 3.2407
Tc Be Au
1 1 1
Cartesian
0.0000 0.0000 0.0000
5.9536 3.4373 2.4305
3.9691 2.2915 1.6204
```

Properties
Energy above the most stable polymorph in this dataset in kJ/mol of atoms: 27.2
Symmetry: No. 216



DFT (PBE) results for CuB3W after structural relaxation.

POSCAR file:
```
CuB3W
1.0
4.1533 0.0000 0.0000
0.0000 4.1533 0.0000
0.0000 0.0000 4.1533
B Cu W
3 1 1
Cartesian
2.0767 0.0000 0.0000
0.0000 2.0767 0.0000
0.0000 0.0000 2.0767
2.0767 2.0767 2.0767
0.0000 0.0000 0.0000
```

Properties
Energy above the most stable polymorph in this dataset in kJ/mol of atoms: 0.0
Symmetry: No. 221



DFT (PBE) results for Li4In3Ir after structural relaxation.

POSCAR file:
```
Li4In3Ir
1.0
3.9281 0.0000 0.0000
0.0000 4.0343 -1.3141
-1.9641 -3.4079 10.1013
In Li Ir
3 4 1
Cartesian
1.9641 -0.0422 6.7309
0.0000 2.0172 -0.6570
0.0000 0.6686 2.0563
0.0000 -1.9988 7.5775
1.9641 1.3148 4.0425
0.0000 -0.6884 4.7448
1.9641 2.6252 1.2097
1.9641 0.0000 0.0000
```

Properties
Symmetry: No. 71



DFT (PBE) results for Nb2PbO6 after structural relaxation.

POSCAR file:
```
Nb2PbO6
1.0
3.9044 0.0000 0.0000
1.9522 5.1003 -0.0803
1.9522 2.0680 6.9722
Pb Nb O
1 2 6
Cartesian
1.9522 3.5841 3.4459
3.9044 1.4406 0.8239
3.9044 5.7276 6.0679
5.8566 4.7189 1.1651
5.8566 5.3235 6.4697
1.9522 2.4494 5.7267
3.9044 4.9612 4.3906
1.9522 1.8448 0.4222
3.9044 2.2071 2.5013
```

Properties
Energy above the most stable polymorph in this dataset in kJ/mol of atoms: 0.0
Uncorrected formation energy in kJ/mol of formula units: -1995.0
Symmetry: No. 12



DFT (PBE) results for Eu2GaF after structural relaxation.

POSCAR file:
```
Eu2GaF
1.0
3.9556 0.0000 0.0000
1.9778 3.4256 0.0000
1.9778 1.1419 7.2681
Eu F Ga
2 1 1
Cartesian
1.9778 1.1419 1.5161
5.9334 3.4256 5.7520
0.0000 0.0000 0.0000
3.9556 2.2837 3.6340
```

Properties
Energy above the most stable polymorph in this dataset in kJ/mol of atoms: 0.0
Uncorrected formation energy in kJ/mol of formula units: -550.7
Symmetry: No. 166



DFT (PBE) results for Si2TePd after structural relaxation.

POSCAR file:
```
Si2TePd
1.0
5.9654 0.0000 0.0000
0.0000 5.9654 0.0000
2.9827 2.9827 5.5179
Si Pd Te
4 2 2
Cartesian
1.8201 4.4740 1.3795
4.4740 4.8028 4.1385
7.4567 7.1280 4.1385
4.1453 1.4913 1.3795
2.9827 5.9654 2.7590
2.9827 2.9827 0.0000
0.0000 0.0000 0.0000
5.9654 2.9827 2.7590
```

Properties
Uncorrected formation energy in kJ/mol of formula units: 29.7
Symmetry: No. 122



DFT (PBE) results for LiCePmIr after structural relaxation.

POSCAR file:
```
LiCePmIr
1.0
-2.0155 0.9221 -4.5159
-0.5391 -3.7369 -3.3243
-4.5888 -1.7377 -1.1087
Ce Pm Li Ir
1 1 1 1
Cartesian
-1.7859 -1.1381 -2.2372
-5.3576 -3.4144 -6.7116
0.0000 0.0000 0.0000
-3.5717 -2.2763 -4.4744
```

Properties
Symmetry: No. 216



DFT (PBE) results for NaTb2Ga after structural relaxation.

POSCAR file:
```
NaTb2Ga
1.0
-2.1553 2.3283 -1.6398
-1.6158 -0.9069 -3.0532
-10.1089 -3.5744 4.3227
Ga Na Tb
1 1 2
Cartesian
-6.9400 -1.0765 -0.1851
0.0000 0.0000 0.0000
-7.3386 -2.3074 2.4802
-6.5415 0.1545 -2.8505
```

Properties
Energy above the most stable polymorph in this dataset in kJ/mol of atoms: 11.4
Symmetry: No. 166



DFT (PBE) results for Rb2Nd2USe6 after structural relaxation.

POSCAR file:
```
Rb2Nd2USe6
1.0
7.4154 -0.0004 0.0624
-3.6655 6.4461 0.0624
-1.3413 -2.3055 8.1357
Se Rb U Nd
6 2 1 2
Cartesian
1.7002 -1.1773 5.6748
1.8727 3.2190 5.7321
0.7084 5.3175 2.5857
-1.8638 0.8962 5.6748
0.5359 0.9212 2.5283
4.2724 3.2441 2.5857
5.5319 1.0954 0.0624
-1.7819 5.3503 0.0624
-0.6706 -1.1528 4.0679
-0.6398 3.1430 4.1302
3.0485 0.9972 4.1302
```

Properties
Uncorrected formation energy in kJ/mol of formula units: -1674.6
Symmetry: No. 12



DFT (PBE) results for GaBi2Pb8 after structural relaxation.

POSCAR file:
```
GaBi2Pb8
1.0
-2.1067 0.6510 -5.6998
2.2059 -7.7124 -5.0513
-4.3538 -7.9900 -2.6585
Pb Ga Bi
8 1 2
Cartesian
-0.9927 -6.1267 -8.2014
-3.2620 -8.9247 -5.2082
-1.6875 -11.8277 -5.9980
-1.4906 -5.4561 -4.7191
-2.5672 -3.2237 -7.4115
-2.7641 -9.5953 -8.6905
-0.1959 -8.7950 -6.3267
-4.0588 -6.2564 -7.0829
0.0000 0.0000 0.0000
-2.7449 -12.9557 -9.0278
-1.5097 -2.0957 -4.3818
```

Properties
Energy above the most stable polymorph in this dataset in kJ/mol of atoms: 0.0
Symmetry: No. 12



DFT (PBE) results for Ac6Zn5Cu after structural relaxation.

POSCAR file:
```
Ac6Zn5Cu
1.0
5.3848 0.0023 -1.1288
-0.0034 7.8153 -0.0008
-1.0120 0.0006 8.6469
Zn Ac Cu
5 6 1
Cartesian
3.2490 3.9094 2.1508
1.1205 3.9088 5.3666
3.2618 0.0018 2.1952
-0.0017 3.9076 -0.0004
1.1076 7.8163 5.3222
3.8196 5.8673 4.8566
3.8213 1.9525 4.8570
2.6916 1.9283 -0.5646
2.6899 5.8893 -0.5650
0.5481 5.8657 2.6603
0.5498 1.9508 2.6608
0.0000 0.0000 0.0000
```

Properties
Symmetry: No. 10



DFT (PBE) results for NbMo3Os after structural relaxation.

POSCAR file:
```
NbMo3Os
1.0
4.6947 0.0000 0.0000
0.0000 4.6947 0.0000
0.0000 0.0000 4.6947
Mo Os Nb
3 1 1
Cartesian
0.0000 0.0000 2.3473
0.0000 2.3473 0.0000
2.3473 0.0000 0.0000
0.0000 0.0000 0.0000
2.3473 2.3473 2.3473
```

Properties
Energy above the most stable polymorph in this dataset in kJ/mol of atoms: 0.0
Symmetry: No. 221



DFT (PBE) results for KFe3C after structural relaxation.

POSCAR file:
```
KFe3C
1.0
4.4214 0.0000 0.0000
0.0000 4.4214 0.0000
0.0000 0.0000 4.4214
Fe K C
3 1 1
Cartesian
2.2107 0.0000 0.0000
0.0000 2.2107 0.0000
0.0000 0.0000 2.2107
0.0000 0.0000 0.0000
2.2107 2.2107 2.2107
```

Properties
Energy above the most stable polymorph in this dataset in kJ/mol of atoms: 259.6
Symmetry: No. 221



DFT (PBE) results for Cs2BaZrI6 after structural relaxation.

POSCAR file:
```
Cs2BaZrI6
1.0
8.9698 0.0000 0.0000
0.0000 8.9698 0.0000
4.4849 4.4849 6.3424
I Cs Zr Ba
6 2 1 1
Cartesian
2.3831 6.5866 0.0000
6.5866 2.3831 0.0000
4.4849 4.4849 2.9721
8.9698 8.9698 3.3703
2.3831 2.3831 0.0000
6.5866 6.5866 0.0000
4.4849 8.9698 3.1712
8.9698 4.4849 3.1712
4.4849 4.4849 0.0000
0.0000 0.0000 0.0000
```

Properties
Uncorrected formation energy in kJ/mol of formula units: -1220.2
Symmetry: No. 225



DFT (PBE) results for USnF6 after structural relaxation.

POSCAR file:
```
USnF6
1.0
5.8355 -2.4575 -0.6718
5.8355 2.4575 -0.6718
5.2865 0.0000 3.5491
F Sn U
6 1 1
Cartesian
4.1711 -1.2044 -0.1587
4.1711 1.2044 -0.1587
3.9021 0.0000 1.9100
12.7864 1.2044 2.3643
13.0555 0.0000 0.2956
12.7864 -1.2044 2.3643
0.0000 0.0000 0.0000
8.4788 0.0000 1.1028
```

Properties
Uncorrected formation energy in kJ/mol of formula units: -1816.2
Symmetry: No. 166



DFT (PBE) results for AgHgIrCl6 after structural relaxation.

POSCAR file:
```
AgHgIrCl6
1.0
-1.4506 -6.1491 2.1527
5.7049 1.1301 -3.2752
5.2587 2.2362 9.9315
Cl Hg Ag Ir
12 2 2 2
Cartesian
3.2999 -1.1225 3.3706
9.1237 -0.8017 6.8244
4.0950 -4.3606 3.6786
6.2348 0.3064 8.1045
6.2131 -1.6603 5.4384
8.2947 2.4297 6.5357
0.3893 -1.9810 1.9846
1.2183 -5.2125 2.2733
3.2782 -3.0892 0.7044
5.4179 1.5779 5.1303
8.2982 0.4332 3.8629
1.2147 -3.2160 4.9460
4.6344 -0.7372 1.0170
4.8786 -2.0455 7.7920
2.6293 1.1181 4.9657
0.0000 0.0000 0.0000
2.2492 -3.1636 2.8263
7.2637 0.3809 5.9827
```

Properties
Uncorrected formation energy in kJ/mol of formula units: -428.9
Symmetry: No. 163



DFT (PBE) results for Cs3U3RhS8 after structural relaxation.

POSCAR file:
```
Cs3U3RhS8
1.0
7.7945 0.0005 0.0008
-3.8969 6.7486 -0.0254
0.0005 -4.4647 8.3285
U Rh Cs S
3 1 3 8
Cartesian
1.9491 1.1422 4.1519
3.8975 -2.2321 4.1646
-1.9482 1.1419 4.1515
0.0003 -2.2324 4.1643
1.9488 3.3745 -0.0123
0.0000 0.0000 0.0000
-1.9484 3.3743 -0.0127
1.8750 -1.1563 2.7179
3.8978 0.0239 5.7121
0.0004 2.2604 2.5917
3.8977 2.3462 2.7056
2.0232 3.4406 5.5859
-2.0197 3.4391 5.5866
0.0005 -0.0618 5.5982
5.9179 -1.1547 2.7173
```

Properties
Uncorrected formation energy in kJ/mol of formula units: -1724.2
Symmetry: No. 166



DFT (PBE) results for Sm7Tm2Th2 after structural relaxation.

POSCAR file:
```
Sm7Tm2Th2
1.0
-3.1594 4.6224 2.4666
-6.8830 -3.2443 2.6227
2.6807 0.6576 7.5605
Sm Th Tm
7 2 2
Cartesian
-5.0951 0.7384 9.2850
-4.4344 -1.0699 2.3896
0.0000 0.0000 0.0000
-2.9272 3.1056 10.2601
-8.0034 1.0345 7.6393
0.6418 1.0011 5.0104
-2.2665 1.2972 3.3647
-4.3267 2.6118 6.3164
-3.0349 -0.5761 6.3333
-1.0260 2.1010 7.6956
-6.3356 -0.0653 4.9542
```

Properties
Energy above the most stable polymorph in this dataset in kJ/mol of atoms: 0.0
Symmetry: No. 12



DFT (PBE) results for Np2TiPd9 after structural relaxation.

POSCAR file:
```
Np2TiPd9
1.0
-0.2198 2.9847 2.7710
-4.0515 -0.4433 0.1561
1.2447 -8.2232 8.9562
Np Pd Ti
2 9 1
Cartesian
0.4080 -2.6951 2.9354
0.8368 -5.5281 6.0209
-1.2968 -4.2708 7.4990
-1.8359 -1.4761 1.4443
0.5125 -2.6193 5.8636
-1.4034 -4.3333 4.5561
-0.9709 -7.1904 7.6679
0.0800 0.2379 2.7518
-1.7297 -1.4110 4.3842
0.9449 -5.4764 8.9754
-2.1357 1.2707 1.4635
0.0000 0.0000 0.0000
```

Properties
Symmetry: No. 123



DFT (PBE) results for Sc4AlHg5 after structural relaxation.

POSCAR file:
```
Sc4AlHg5
1.0
-0.2860 -1.5822 -3.1511
3.0039 -1.7649 0.6135
-8.9339 -12.7060 7.1908
Sc Hg Al
4 5 1
Cartesian
-3.5550 -5.0560 2.8614
-1.7192 -2.4451 1.3838
-5.3789 -7.6499 4.3294
-7.2146 -10.2608 5.8070
-3.1080 -8.0265 2.3266
-1.3086 -5.4674 0.8783
-6.7288 -13.1762 5.2410
0.5128 -2.8769 -0.5878
-4.9074 -10.5857 3.7749
0.0000 0.0000 0.0000
```

Properties
Symmetry: No. 123



DFT (PBE) results for ScTc2Os after structural relaxation.

POSCAR file:
```
ScTc2Os
1.0
4.4979 0.0047 0.0000
-0.0035 4.4979 0.0000
0.0000 0.0000 3.0477
Tc Sc Os
2 1 1
Cartesian
2.2472 2.2513 0.0000
0.0000 0.0000 0.0000
-0.0017 2.2490 1.5238
2.2490 0.0023 1.5238
```

Properties
Energy above the most stable polymorph in this dataset in kJ/mol of atoms: 4.6
Symmetry: No. 123



DFT (PBE) results for PbSeO5 after structural relaxation.

POSCAR file:
```
PbSeO5
1.0
1.2522 2.7682 -4.9121
0.8163 -5.0750 -2.6338
-7.4119 0.8731 1.5873
O Pb Se
10 2 2
Cartesian
-1.6735 -1.2146 -5.1786
-1.6348 -2.5500 -2.1981
1.0902 -1.4476 -5.4514
-3.6699 -0.2191 -0.7800
-5.3540 -2.3524 -1.3350
0.0107 0.9187 -4.6236
-6.4335 0.0139 -0.5072
-3.7086 1.1164 -3.7606
-1.2704 0.8203 -1.8323
-4.0729 -2.2539 -4.1264
0.6261 1.3841 -2.4561
-3.0798 1.8207 -1.6624
-5.1018 -1.0032 -0.3820
-0.2415 -0.4304 -5.5767
```

Properties
Uncorrected formation energy in kJ/mol of formula units: -406.9
Symmetry: No. 15



| no. | raw total energy (eV per atom) |
| --- | --- |
| 1 | -3.621 |
| 2 | -5.109 |
| 3 | -5.388 |
| 4 | -5.930 |
| 5 | -3.319 |
| 6 | -8.253 |
| 7 | -7.789 |
| 8 | -4.718 |
| 9 | -5.718 |
| 10 | -3.444 |
| 11 | -5.547 |
| 12 | -3.596 |
| 13 | -3.144 |
| 14 | -9.198 |
| 15 | -3.529 |
| 16 | -3.413 |
| 17 | -5.668 |
| 18 | -3.060 |
| 19 | -6.311 |
| 20 | -4.990 |
| 21 | -7.201 |
| 22 | -3.384 |
| 23 | -9.584 |
| 24 | -5.172 |